[1]
PBE Cd2InBi, relaxed; space-group type = No. 123; formation enthalpy at 0 K = 0.059 eV/atom; ρ = 8.54 g/cm3; E_tot = -8.2 eV for the cell shown; offset from the most stable computed form = 0.041 eV/f.u.; total magnetic moment = 0.00 μB per formula unit
1.0
-4.547 0.965 0.147
0.109 -0.214 4.782
0.999 4.679 0.187
In Cd Bi
1 2 1
Direct
0.500 0.000 0.000 In
0.000 0.500 0.000 Cd
0.000 0.000 0.500 Cd
0.500 0.500 0.500 Bi



[2]
PBE CdIn2Bi, relaxed; space-group type = No. 160; formation enthalpy at 0 K = 0.066 eV/atom; ρ = 7.47 g/cm3; E_tot = -10.0 eV for the cell shown; offset from the most stable computed form = 0.136 eV/f.u.; total magnetic moment = 0.00 μB per formula unit
1.0
-2.396 1.921 -3.421
-4.195 1.700 0.804
0.494 7.158 0.585
In Bi Cd
2 1 1
Direct
0.077 0.077 0.770 In
0.254 0.254 0.239 In
0.501 0.501 0.497 Bi
0.668 0.668 0.995 Cd



[3]
PBE CdInBi, relaxed; space-group type = No. 156; formation enthalpy at 0 K = 0.044 eV/atom; ρ = 8.37 g/cm3; E_tot = -7.4 eV for the cell shown; total magnetic moment = 0.00 μB per formula unit
1.0
-2.274 1.524 -2.140
2.715 -1.878 -4.224
-3.964 -2.903 2.145
Bi In Cd
1 1 1
Direct
0.837 0.667 0.333 Bi
0.333 0.333 0.667 In
0.830 0.000 0.000 Cd



[4]
PBE Cd5In12Bi3, relaxed; space-group type = No. 230; formation enthalpy at 0 K = 0.148 eV/atom; ρ = 6.22 g/cm3; E_tot = -184.5 eV for the cell shown; total magnetic moment = 0.00 μB per formula unit
1.0
-14.287 0.159 5.387
8.994 -7.688 9.653
5.083 14.334 -1.371
In Cd Bi
48 20 12
Direct
0.578 0.634 0.411 In
0.056 0.422 0.833 In
0.078 0.167 0.444 In
0.833 0.911 0.277 In
0.422 0.056 0.333 In
0.866 0.277 0.444 In
0.422 0.366 0.589 In
0.089 0.922 0.366 In
0.167 0.078 0.944 In
0.944 0.366 0.277 In
0.411 0.277 0.333 In
0.223 0.667 0.089 In
0.634 0.578 0.911 In
0.866 0.589 0.922 In
0.167 0.089 0.723 In
0.444 0.667 0.078 In
0.333 0.777 0.411 In
0.922 0.833 0.556 In
0.777 0.444 0.366 In
0.366 0.422 0.089 In
0.556 0.333 0.922 In
0.223 0.556 0.634 In
0.134 0.411 0.078 In
0.078 0.911 0.134 In
0.911 0.833 0.777 In
0.366 0.944 0.777 In
0.634 0.056 0.223 In
0.723 0.589 0.167 In
0.556 0.223 0.134 In
0.134 0.723 0.556 In
0.922 0.089 0.866 In
0.777 0.333 0.911 In
0.411 0.134 0.578 In
0.277 0.411 0.833 In
0.667 0.444 0.578 In
0.944 0.578 0.167 In
0.444 0.777 0.866 In
0.667 0.223 0.589 In
0.833 0.922 0.056 In
0.723 0.134 0.056 In
0.578 0.944 0.667 In
0.277 0.866 0.944 In
0.911 0.078 0.634 In
0.089 0.167 0.223 In
0.589 0.723 0.667 In
0.056 0.634 0.723 In
0.589 0.866 0.422 In
0.333 0.556 0.422 In
0.250 0.875 0.125 Cd
0.000 0.000 0.000 Cd
0.500 0.000 0.500 Cd
0.000 0.500 0.500 Cd
0.750 0.125 0.875 Cd
0.375 0.250 0.125 Cd
0.625 0.750 0.875 Cd
0.375 0.125 0.750 Cd
0.125 0.750 0.375 Cd
0.500 0.500 0.000 Cd
0.625 0.875 0.250 Cd
0.000 0.000 0.500 Cd
0.500 0.000 0.000 Cd
0.875 0.625 0.750 Cd
0.500 0.500 0.500 Cd
0.750 0.625 0.375 Cd
0.125 0.375 0.250 Cd
0.250 0.375 0.625 Cd
0.875 0.250 0.625 Cd
0.000 0.500 0.000 Cd
0.625 0.375 0.750 Bi
0.375 0.750 0.625 Bi
0.625 0.250 0.375 Bi
0.750 0.875 0.625 Bi
0.750 0.375 0.125 Bi
0.375 0.625 0.250 Bi
0.250 0.125 0.375 Bi
0.875 0.750 0.125 Bi
0.875 0.125 0.250 Bi
0.250 0.625 0.875 Bi
0.125 0.875 0.750 Bi
0.125 0.250 0.875 Bi



[5]
PBE Cd2In5Bi, relaxed; space-group type = No. 139; formation enthalpy at 0 K = 0.033 eV/atom; ρ = 7.73 g/cm3; E_tot = -19.1 eV for the cell shown; total magnetic moment = 0.00 μB per formula unit
1.0
4.817 0.000 -0.934
-0.181 4.813 -0.934
-0.637 -0.661 9.601
In Cd Bi
5 2 1
Direct
0.500 0.500 0.000 In
0.133 0.633 0.265 In
0.633 0.133 0.265 In
0.867 0.367 0.735 In
0.367 0.867 0.735 In
0.747 0.747 0.494 Cd
0.253 0.253 0.506 Cd
0.000 0.000 0.000 Bi



[6]
PBE Cd3In4Bi4, relaxed; space-group type = No. 71; formation enthalpy at 0 K = 0.079 eV/atom; ρ = 8.28 g/cm3; E_tot = -28.4 eV for the cell shown; total magnetic moment = 0.00 μB per formula unit
1.0
3.403 0.000 -0.785
-0.797 8.226 -3.457
0.857 0.033 11.487
Cd Bi In
3 4 4
Direct
0.100 0.100 0.199 Cd
0.900 0.900 0.801 Cd
0.000 0.500 0.000 Cd
0.270 0.770 0.540 Bi
0.730 0.230 0.460 Bi
0.500 0.787 0.000 Bi
0.500 0.213 0.000 Bi
0.654 0.836 0.308 In
0.346 0.528 0.692 In
0.346 0.164 0.692 In
0.654 0.472 0.308 In



[7]
PBE Cd2In15Bi2, relaxed; space-group type = No. 166; formation enthalpy at 0 K = 0.096 eV/atom; ρ = 7.12 g/cm3; E_tot = -48.8 eV for the cell shown; total magnetic moment = 0.00 μB per formula unit
1.0
8.140 0.055 3.043
2.130 7.856 3.043
0.072 0.055 8.689
In Bi Cd
15 2 2
Direct
0.698 0.000 0.302 In
0.500 0.000 0.000 In
0.178 0.587 0.587 In
0.587 0.587 0.178 In
0.698 0.302 0.000 In
0.587 0.178 0.587 In
0.302 0.000 0.698 In
0.822 0.413 0.413 In
0.302 0.698 0.000 In
0.413 0.413 0.822 In
0.000 0.000 0.500 In
0.000 0.500 0.000 In
0.000 0.302 0.698 In
0.000 0.698 0.302 In
0.413 0.822 0.413 In
0.667 0.667 0.667 Bi
0.333 0.333 0.333 Bi
0.101 0.101 0.101 Cd
0.899 0.899 0.899 Cd



[8]
PBE CdIn2Bi, relaxed; space-group type = No. 225; formation enthalpy at 0 K = 0.032 eV/atom; ρ = 7.96 g/cm3; E_tot = -10.1 eV for the cell shown; offset from the most stable computed form = 0.000 eV/f.u.; total magnetic moment = 0.00 μB per formula unit
1.0
-4.633 1.310 2.568
-3.416 3.632 -2.218
-4.796 -1.644 -2.018
Bi Cd In
1 1 2
Direct
0.500 0.500 0.500 Bi
0.000 0.000 0.000 Cd
0.250 0.250 0.250 In
0.750 0.750 0.750 In



[9]
PBE Cd2In3Bi2, relaxed; space-group type = No. 65; formation enthalpy at 0 K = 0.062 eV/atom; ρ = 8.07 g/cm3; E_tot = -17.4 eV for the cell shown; total magnetic moment = 0.00 μB per formula unit
1.0
3.415 0.000 -0.412
0.000 4.259 0.000
-0.047 0.000 13.968
In Bi Cd
3 2 2
Direct
0.570 0.500 0.140 In
0.430 0.500 0.860 In
0.000 0.000 0.000 In
0.857 0.000 0.714 Bi
0.143 0.000 0.286 Bi
0.293 0.500 0.586 Cd
0.707 0.500 0.414 Cd



[10]
PBE Cd4In15Bi, relaxed; space-group type = No. 123; formation enthalpy at 0 K = 0.024 eV/atom; ρ = 7.40 g/cm3; E_tot = -48.1 eV for the cell shown; total magnetic moment = 0.00 μB per formula unit
1.0
4.776 0.000 0.000
0.000 4.776 0.000
0.000 0.000 23.412
In Cd Bi
15 4 1
Direct
0.500 0.500 0.000 In
0.000 0.500 0.500 In
0.500 0.000 0.105 In
0.500 0.500 0.599 In
0.500 0.000 0.698 In
0.000 0.500 0.105 In
0.500 0.500 0.795 In
0.500 0.500 0.401 In
0.000 0.500 0.698 In
0.500 0.000 0.302 In
0.500 0.000 0.895 In
0.000 0.500 0.302 In
0.500 0.000 0.500 In
0.500 0.500 0.205 In
0.000 0.500 0.895 In
0.000 0.000 0.796 Cd
0.000 0.000 0.600 Cd
0.000 0.000 0.204 Cd
0.000 0.000 0.400 Cd
0.000 0.000 0.000 Bi



[11]
PBE Cd8In2Bi, relaxed; space-group type = No. 12; formation enthalpy at 0 K = 0.070 eV/atom; ρ = 7.90 g/cm3; E_tot = -15.9 eV for the cell shown; offset from the most stable computed form = 0.000 eV/f.u.; total magnetic moment = 0.00 μB per formula unit
1.0
-3.260 1.071 -4.632
1.603 -0.081 -7.850
-1.310 -7.983 -4.275
Cd In Bi
8 2 1
Direct
0.500 0.193 0.615 Cd
0.256 0.897 0.724 Cd
0.500 0.807 0.385 Cd
0.744 0.379 0.724 Cd
0.772 0.480 0.000 Cd
0.228 0.520 0.000 Cd
0.744 0.103 0.276 Cd
0.256 0.621 0.276 Cd
0.000 0.685 0.631 In
0.000 0.315 0.369 In
0.500 0.000 0.000 Bi



[12]
PBE CdIn3Bi2, relaxed; space-group type = No. 26; formation enthalpy at 0 K = 0.038 eV/atom; ρ = 8.27 g/cm3; E_tot = -33.3 eV for the cell shown; total magnetic moment = 0.00 μB per formula unit
1.0
5.180 0.000 0.000
0.000 6.987 0.000
0.000 0.000 9.709
Cd In Bi
2 6 4
Direct
0.500 0.571 0.508 Cd
0.500 0.071 0.492 Cd
0.000 0.443 0.993 In
0.000 0.943 0.007 In
0.000 0.335 0.340 In
0.000 0.835 0.660 In
0.500 0.159 0.833 In
0.500 0.659 0.167 In
0.000 0.291 0.666 Bi
0.500 0.702 0.831 Bi
0.500 0.202 0.169 Bi
0.000 0.791 0.334 Bi



[13]
PBE CdInBi, relaxed; space-group type = No. 2; formation enthalpy at 0 K = 0.038 eV/atom; ρ = 7.68 g/cm3; E_tot = -14.8 eV for the cell shown; total magnetic moment = 0.00 μB per formula unit
1.0
4.766 -0.196 -0.423
-2.362 3.580 -1.929
-1.343 -7.478 16.103
Cd In Bi
2 2 2
Direct
0.372 0.646 0.083 Cd
0.628 0.354 0.917 Cd
0.854 0.129 0.580 In
0.146 0.871 0.420 In
0.393 0.545 0.239 Bi
0.607 0.455 0.761 Bi



[14]
PBE CdInBi, relaxed; space-group type = No. 12; formation enthalpy at 0 K = 0.047 eV/atom; ρ = 8.33 g/cm3; E_tot = -14.8 eV for the cell shown; total magnetic moment = 0.00 μB per formula unit
1.0
3.395 0.035 -0.702
-0.594 5.326 -2.610
1.161 1.108 8.802
In Bi Cd
2 2 2
Direct
0.448 0.677 0.354 In
0.552 0.323 0.646 In
0.062 0.857 0.715 Bi
0.938 0.143 0.285 Bi
0.500 0.261 0.000 Cd
0.500 0.739 0.000 Cd



[15]
PBE Cd5In6Bi, relaxed; space-group type = No. 10; formation enthalpy at 0 K = 0.037 eV/atom; ρ = 7.75 g/cm3; E_tot = -24.4 eV for the cell shown; total magnetic moment = 0.00 μB per formula unit
1.0
4.675 0.030 0.017
2.385 7.011 0.008
-0.033 0.000 9.569
In Cd Bi
6 5 1
Direct
0.167 0.662 0.256 In
0.833 0.338 0.256 In
0.500 0.000 0.736 In
0.833 0.338 0.744 In
0.500 0.000 0.264 In
0.167 0.662 0.744 In
0.332 0.338 0.500 Cd
0.668 0.662 0.500 Cd
0.326 0.345 0.000 Cd
0.674 0.655 0.000 Cd
0.000 0.000 0.500 Cd
0.000 0.000 0.000 Bi



[16]
PBE Cd2In2Bi, relaxed; space-group type = No. 11; formation enthalpy at 0 K = 0.058 eV/atom; ρ = 7.67 g/cm3; E_tot = -21.8 eV for the cell shown; offset from the most stable computed form = 0.000 eV/f.u.; total magnetic moment = 0.00 μB per formula unit
1.0
-4.467 -0.862 0.750
1.024 -6.374 -1.231
1.782 -1.186 9.246
Cd In Bi
4 4 2
Direct
0.246 0.346 0.052 Cd
0.746 0.654 0.948 Cd
0.746 0.755 0.646 Cd
0.246 0.245 0.354 Cd
0.246 0.885 0.111 In
0.746 0.115 0.889 In
0.746 0.191 0.556 In
0.246 0.809 0.444 In
0.246 0.444 0.731 Bi
0.746 0.556 0.269 Bi



[17]
PBE Cd4In7Bi, relaxed; space-group type = No. 2; formation enthalpy at 0 K = 0.033 eV/atom; ρ = 7.66 g/cm3; E_tot = -26.3 eV for the cell shown; total magnetic moment = 0.00 μB per formula unit
1.0
5.739 0.688 -0.721
-2.287 3.978 -0.007
-2.319 -1.361 13.354
In Cd Bi
7 4 1
Direct
0.341 0.670 0.410 In
0.668 0.340 0.840 In
0.007 0.011 0.756 In
0.000 0.000 0.000 In
0.332 0.660 0.160 In
0.659 0.330 0.590 In
0.993 0.989 0.244 In
0.661 0.324 0.321 Cd
0.342 0.673 0.921 Cd
0.658 0.327 0.079 Cd
0.339 0.676 0.679 Cd
0.000 0.000 0.500 Bi



[18]
PBE Cd2In3Bi4, relaxed; space-group type = No. 15; formation enthalpy at 0 K = 0.065 eV/atom; ρ = 8.48 g/cm3; E_tot = -50.0 eV for the cell shown; total magnetic moment = 0.00 μB per formula unit
1.0
-8.270 -0.140 4.025
2.021 -12.769 3.708
-0.041 -5.039 7.061
Bi Cd In
8 4 6
Direct
0.127 0.793 0.828 Bi
0.836 0.358 0.464 Bi
0.164 0.642 0.536 Bi
0.627 0.379 0.828 Bi
0.664 0.822 0.536 Bi
0.373 0.621 0.172 Bi
0.336 0.178 0.464 Bi
0.873 0.207 0.172 Bi
0.913 0.016 0.680 Cd
0.087 0.984 0.320 Cd
0.587 0.696 0.320 Cd
0.413 0.304 0.680 Cd
0.750 0.517 0.000 In
0.250 0.483 0.000 In
0.960 0.795 0.227 In
0.540 0.022 0.773 In
0.040 0.205 0.773 In
0.460 0.978 0.227 In